No. 1
{
  "formula": "BeRe2As",
  "functional": "PBE",
  "state": "relaxed",
  "e_form_kj_per_mol_atoms": 40.35,
  "sg": "P2/m (10)",
  "crystal_system": "monoclinic",
  "density_g_cm3": 13.4,
  "lattice_angstrom": [[-1.3691, -3.4453, -1.5159], [1.7056, 0.3121, -2.2499], [3.6882, -2.4628, 2.2664]],
  "species": ["Re", "Re", "Be", "As"],
  "frac_coords": [[0.0000, 0.4830, 0.5224], [0.0000, 0.0170, 0.9776], [0.5000, 0.7500, 0.7500], [0.5000, 0.2500, 0.2500]]
}

No. 2
{
  "formula": "BeW",
  "functional": "PBE",
  "state": "relaxed",
  "e_form_kj_per_mol_atoms": 8.52,
  "sg": "Imm2 (44)",
  "crystal_system": "orthorhombic",
  "density_g_cm3": 13.1,
  "lattice_angstrom": [[-1.6185, 2.4593, 4.5958], [1.6185, -2.4593, 4.5958], [1.6185, 2.4593, -4.5958]],
  "species": ["W", "W", "W", "Be", "Be", "Be"],
  "frac_coords": [[0.9555, 0.5000, 0.4555], [0.9193, 0.1966, 0.7227], [0.5261, 0.8034, 0.7227], [0.1253, 0.8866, 0.2387], [0.4560, 0.5000, 0.9560], [0.3521, 0.1134, 0.2387]]
}

No. 3
{
  "formula": "ZnRe2I",
  "functional": "PBE",
  "state": "relaxed",
  "sg": "Fm-3m (225)",
  "crystal_system": "cubic",
  "e_tot_ev_per_atom": -5.7531,
  "density_g_cm3": 14.6,
  "lattice_angstrom": [[-4.3628, -0.8127, 0.7364], [-3.0281, 0.9043, -3.2015], [-2.0579, -3.3642, -2.1644]],
  "species": ["Zn", "I", "Re", "Re"],
  "frac_coords": [[0.0000, 0.0000, 0.0000], [0.5000, 0.5000, 0.5000], [0.2500, 0.2500, 0.2500], [0.7500, 0.7500, 0.7500]]
}

Number 1: DOS at the Fermi energy 2.5 states/eV/f.u.. Number 2: DOS at the Fermi energy 0.2 states/eV/f.u.. Number 3: DOS at the Fermi energy 2.7 states/eV/f.u..